1.
# Ca2NdAl9 (PBE, relaxed)
# E_form	-295	meV/atom
data_Ca2NdAl9
_space_group_name_H-M_alt 'R -3 m'
_space_group_IT_number 166
_space_group_name_Hall '-R 3 2"'
_cell_length_a 5.6317
_cell_length_b 5.6317
_cell_length_c 26.8381
_cell_angle_alpha 90.00
_cell_angle_beta 90.00
_cell_angle_gamma 120.00
loop_
_atom_site_label
_atom_site_fract_x
_atom_site_fract_y
_atom_site_fract_z
Ca1 0.0000 0.0000 0.1419
Nd1 0.0000 0.0000 0.0000
Al1 0.0000 0.0000 0.3351
Al2 0.0000 0.0000 0.5000
Al3 0.0049 0.5024 0.9180


2.
# CaNdAl (PBE, relaxed)
# offset from the most stable computed form	14.6	kJ/mol of atoms
# E_form	-116	meV/atom
data_CaNdAl
_space_group_name_H-M_alt 'P -3 m 1'
_space_group_IT_number 164
_space_group_name_Hall '-P 3 2"'
_cell_length_a 5.2441
_cell_length_b 5.2441
_cell_length_c 7.9321
_cell_angle_alpha 90.00
_cell_angle_beta 90.00
_cell_angle_gamma 120.00
loop_
_atom_site_label
_atom_site_fract_x
_atom_site_fract_y
_atom_site_fract_z
Ca1 0.3333 0.6667 0.3655
Nd1 0.3333 0.6667 0.8988
Al1 0.0000 0.0000 0.1781


3.
# CaNd4Al4 (PBE, relaxed)
# E_form	-117	meV/atom
data_CaNd4Al4
_space_group_name_H-M_alt 'P 42/n'
_space_group_IT_number 86
_cell_length_a 9.007
_cell_length_b 9.007
_cell_length_c 6.020
_cell_angle_alpha 90.00
_cell_angle_beta 90.00
_cell_angle_gamma 90.00
loop_
_space_group_symop_operation_xyz
'x,y,z'
'-x,-y,-z'
'-y,x+1/2,z+1/2'
'y,-x+1/2,-z+1/2'
'-x+1/2,-y+1/2,z'
'x+1/2,y+1/2,-z'
'y+1/2,-x,z+1/2'
'-y+1/2,x,-z+1/2'
loop_
_atom_site_label
_atom_site_fract_x
_atom_site_fract_y
_atom_site_fract_z
Ca1 0.250 0.250 0.250
Nd1 0.083 0.827 0.631
Al1 0.062 0.158 0.848


4.
# CaNd4Al2 (PBE, relaxed)
# E_form	31	meV/atom
data_CaNd4Al2
_space_group_name_H-M_alt 'C m c e'
_space_group_IT_number 64
_space_group_name_Hall '-C 2ac 2'
_cell_length_a 11.632
_cell_length_b 7.110
_cell_length_c 10.849
_cell_angle_alpha 90.00
_cell_angle_beta 90.00
_cell_angle_gamma 90.00
loop_
_atom_site_label
_atom_site_fract_x
_atom_site_fract_y
_atom_site_fract_z
Ca1 0.000 0.000 0.000
Nd1 0.000 0.009 0.340
Nd2 0.250 0.249 0.750
Al1 0.230 0.000 0.500


5.
# CaNdAl (PBE, relaxed)
# offset from the most stable computed form	0.0	kJ/mol of atoms
# E_form	-267	meV/atom
data_CaNdAl
_space_group_name_H-M_alt 'P 63/m m c'
_space_group_IT_number 194
_space_group_name_Hall '-P 6c 2c'
_cell_length_a 5.4047
_cell_length_b 5.4047
_cell_length_c 6.8329
_cell_angle_alpha 90.00
_cell_angle_beta 90.00
_cell_angle_gamma 120.00
loop_
_atom_site_label
_atom_site_fract_x
_atom_site_fract_y
_atom_site_fract_z
Ca1 0.0000 0.0000 0.0000
Nd1 0.3333 0.6667 0.2500
Al1 0.3333 0.6667 0.7500


6.
# CaNdAl2 (PBE, relaxed)
# offset from the most stable computed form	0.8	kJ/mol of atoms
# E_form	-263	meV/atom
data_CaNdAl2
_space_group_name_H-M_alt 'P 4/m m m'
_space_group_IT_number 123
_space_group_name_Hall '-P 4 2'
_cell_length_a 4.856
_cell_length_b 4.856
_cell_length_c 4.334
_cell_angle_alpha 90.00
_cell_angle_beta 90.00
_cell_angle_gamma 90.00
loop_
_atom_site_label
_atom_site_fract_x
_atom_site_fract_y
_atom_site_fract_z
Ca1 0.000 0.000 0.000
Nd1 0.500 0.500 0.000
Al1 0.000 0.500 0.500


7.
# CaNdAl4 (PBE, relaxed)
# E_form	-403	meV/atom
data_CaNdAl4
_space_group_name_H-M_alt 'F -4 3 m'
_space_group_IT_number 216
_space_group_name_Hall 'F -4 2 3'
_cell_length_a 8.021
_cell_length_b 8.021
_cell_length_c 8.021
_cell_angle_alpha 90.00
_cell_angle_beta 90.00
_cell_angle_gamma 90.00
loop_
_atom_site_label
_atom_site_fract_x
_atom_site_fract_y
_atom_site_fract_z
Ca1 0.000 0.000 0.000
Nd1 0.250 0.250 0.750
Al1 0.125 0.125 0.375


8.
# CaNd3Al8 (PBE, relaxed)
# E_form	-455	meV/atom
data_CaNd3Al8
_space_group_name_H-M_alt 'R 3 m'
_space_group_IT_number 160
_space_group_name_Hall 'R 3 -2"'
_cell_length_a 5.6715
_cell_length_b 5.6715
_cell_length_c 27.8904
_cell_angle_alpha 90.00
_cell_angle_beta 90.00
_cell_angle_gamma 120.00
loop_
_atom_site_label
_atom_site_fract_x
_atom_site_fract_y
_atom_site_fract_z
Ca1 0.0000 0.0000 0.0000
Nd1 0.0000 0.0000 0.3742
Nd2 0.0000 0.0000 0.5006
Nd3 0.0000 0.0000 0.8769
Al1 0.0000 0.0000 0.1881
Al2 0.0000 0.0000 0.6875
Al3 0.0008 0.5004 0.4382
Al4 0.1672 0.3343 0.2705